This record from Alexandria via LeMat-Bulk describes K2TaPb after structural relaxation. The functional is PBE-GGA.

a = 6.2249 Å, b = 3.2235 Å, c = 6.0506 Å
α = 75.45°, β = 90.00°, γ = 90.00°
Last column: magnetic moment on the atom in μB.
Element x y z (fractional)
K (0.0000, 0.4937, 0.4986)  0.01
K (0.0000, 0.0062, 0.0014)  0.01
Ta (0.5000, 0.7500, 0.7500)  0.62
Pb (0.5000, 0.2500, 0.2500)  -0.03

Properties
Theoretical density, g/cm³: 6.59
V, Å³/atom: 29.4
Crystal system: monoclinic
SG: P2/m (10)


This record from Alexandria via LeMat-Bulk describes KTaPb3 after structural relaxation. The functional is PBE-GGA.

a = 5.5817 Å, b = 5.5817 Å, c = 5.5817 Å
α = 90.00°, β = 90.00°, γ = 90.00°
Element x y z (fractional)
Pb (0.5000, 0.0000, 0.0000)
Pb (0.0000, 0.0000, 0.5000)
Pb (0.0000, 0.5000, 0.0000)
K (0.5000, 0.5000, 0.5000)
Ta (0.0000, 0.0000, 0.0000)

Properties
Theoretical density, g/cm³: 8.04
V, Å³/atom: 34.8
Crystal system: cubic
SG: Pm-3m (221)


This record from Alexandria via LeMat-Bulk describes KTaPb2 after structural relaxation. The functional is PBE-GGA.

a = 3.9582 Å, b = 3.9582 Å, c = 9.0026 Å
α = 90.00°, β = 90.00°, γ = 90.00°
Element x y z (fractional)
Pb (0.5000, 0.5000, 0.3651)
Pb (0.0000, 0.0000, 0.0339)
Ta (0.0000, 0.0000, 0.3455)
K (0.5000, 0.5000, 0.7555)

Properties
Theoretical density, g/cm³: 7.47
V, Å³/atom: 35.3
Crystal system: tetragonal
SG: P4mm (99)


This record from Alexandria via LeMat-Bulk describes KTa2Pb after structural relaxation. The functional is PBE-GGA.

a = 3.0740 Å, b = 3.0740 Å, c = 11.6335 Å
α = 90.00°, β = 90.00°, γ = 118.63°
Element x y z (fractional)
K (0.5000, 0.5000, 0.2500)
Ta (0.0000, 0.0000, 0.5306)
Ta (0.0000, 0.0000, 0.9694)
Pb (0.5000, 0.5000, 0.7500)

Properties
Theoretical density, g/cm³: 10.47
V, Å³/atom: 24.1
Crystal system: orthorhombic
SG: Cmmm (65)


This record from Alexandria via LeMat-Bulk describes KTa2Pb after structural relaxation. The functional is PBE-GGA.

a = 5.0984 Å, b = 4.2769 Å, c = 4.2769 Å
α = 90.00°, β = 90.00°, γ = 90.00°
Element x y z (fractional)
Ta (0.0000, 0.0000, 0.0000)
Ta (0.0000, 0.5000, 0.5000)
K (0.5000, 0.5000, 0.0000)
Pb (0.5000, 0.0000, 0.5000)

Properties
Theoretical density, g/cm³: 10.83
V, Å³/atom: 23.3
Crystal system: tetragonal
SG: P4/mmm (123)


This record from Alexandria via LeMat-Bulk describes K2TaPb after structural relaxation. The functional is PBE-GGA.

a = 3.1808 Å, b = 3.1808 Å, c = 12.7966 Å
α = 90.00°, β = 90.00°, γ = 114.90°
Last column: magnetic moment on the atom in μB.
Element x y z (fractional)
Pb (0.5000, 0.5000, 0.2500)  0.00
K (0.0000, 0.0000, 0.9989)  0.00
K (0.0000, 0.0000, 0.5011)  0.00
Ta (0.5000, 0.5000, 0.7500)  0.07

Properties
Theoretical density, g/cm³: 6.59
V, Å³/atom: 29.4
Crystal system: orthorhombic
SG: Cmmm (65)


This record from Alexandria via LeMat-Bulk describes K2TaPb after structural relaxation. The functional is PBE-GGA.

a = 4.3700 Å, b = 4.3774 Å, c = 6.0654 Å
α = 90.00°, β = 90.00°, γ = 90.00°
Last column: magnetic moment on the atom in μB.
Element x y z (fractional)
Pb (0.5000, 0.0000, 0.5000)  -0.05
K (0.5000, 0.5000, 0.0000)  0.00
K (0.0000, 0.0000, 0.0000)  0.00
Ta (0.0000, 0.5000, 0.5000)  0.67

Properties
Theoretical density, g/cm³: 6.67
V, Å³/atom: 29.0
Crystal system: tetragonal
SG: P4/mmm (123)


This record from Alexandria via LeMat-Bulk describes KTa3Pb after structural relaxation. The functional is PBE-GGA.

a = 5.3029 Å, b = 5.3029 Å, c = 5.3029 Å
α = 90.00°, β = 90.00°, γ = 90.00°
Element x y z (fractional)
Ta (0.0000, 0.5000, 0.0000)
Ta (0.0000, 0.0000, 0.5000)
Ta (0.5000, 0.0000, 0.0000)
K (0.5000, 0.5000, 0.5000)
Pb (0.0000, 0.0000, 0.0000)

Properties
Theoretical density, g/cm³: 8.79
V, Å³/atom: 29.8
Crystal system: cubic
SG: Pm-3m (221)


no.,energy relative to the elements (meV per atom),DOS at the Fermi energy (states/eV/f.u.),total moment (μB per formula unit)
1,923,3.44,1.01
2,206,1.81,0.00
3,596,2.55,0.00
4,1010,3.45,0.00
5,1305,5.48,0.00
6,883,3.41,0.11
7,927,2.61,0.95
8,2398,2.87,0.00